Record 1
NaYCdPb: relaxed, GGA-PBE.

Properties
Relative energy among the computed polymorphs   0.0 meV/atom
Crystal system   orthorhombic
Calculated formation energy   -6.896 kcal/mol of atoms

Unit cell a=4.0615 b=4.9870 c=5.2846 alpha=90.00 beta=90.00 gamma=90.00
Last column: nearest neighbours and their distance in Å.
Space group Pmmm (No. 47)
One atom of each set of equivalent atoms:
Na (0.0000, 0.0000, 0.0000) x1  4 Cd 3.22, 4 Pb 3.33
Y (0.0000, 0.5000, 0.5000) x1  4 Pb 3.22, 4 Cd 3.33
Cd (0.5000, 0.5000, 0.0000) x1  4 Na 3.22, 4 Y 3.33
Pb (0.5000, 0.0000, 0.5000) x1  4 Y 3.22, 4 Na 3.33

---

Record 2
MnTlPtSe: relaxed, GGA-PBE.

Properties
Formation energy without anion corrections   -0.12 eV per atom
Relative energy among the computed polymorphs   40.2 meV/atom
Crystal system   monoclinic

Unit cell a=6.5207 b=3.7840 c=7.5386 alpha=90.00 beta=107.02 gamma=90.00
Last column: nearest neighbours and their distance in Å.
Space group Cm (No. 8)
One atom of each set of equivalent atoms:
Mn (0.0000, 0.0000, 0.0000) x2  3 Se 2.53-2.54, 3 Pt 2.63
Tl (0.3443, 0.5000, 0.5378) x2  3 Pt 2.87
Pt (0.2655, 0.0000, 0.7969) x2  3 Mn 2.63, 1 Se 2.76, 3 Tl 2.87
Se (0.3956, 0.0000, 0.1799) x2  3 Mn 2.53-2.54, 1 Pt 2.76